No. 1
VASP calculation (PBE) on Zr2NiP after structural relaxation.

Uncorrected energy = -32.05 eV/f.u.
SG = P2_1/m, No. 11
Calculated density = 6.72 g/cm3
Crystal system = monoclinic

Lattice parameters (Å, degrees): 5.2663 3.6438 7.4850 90.00 110.48 90.00
Last column: nearest neighbours and their distance in Å.
Fractional coordinates of all 8 atoms:
Ni 0.8505 0.0000 0.2100  2 P 2.31
Ni 0.1489 0.5000 0.7897  2 P 2.31
P 0.6416 0.5000 0.2897  2 Ni 2.31
P 0.3584 0.0000 0.7107  2 Ni 2.31
Zr 0.2794 0.0000 0.0689  4 Ni 2.67-2.82, 3 P 2.74-2.85
Zr 0.2168 0.5000 0.4243  4 P 2.71-2.84, 3 Ni 2.73-2.88
Zr 0.7834 0.0000 0.5764  4 P 2.71-2.84, 3 Ni 2.72-2.89
Zr 0.7209 0.5000 0.9303  4 Ni 2.68-2.82, 3 P 2.73-2.86

No. 2
VASP calculation (PBE) on CoSiNiAg after structural relaxation.

Uncorrected energy = -20.40 eV/f.u.
SG = F-43m, No. 216
Calculated density = 8.26 g/cm3
Crystal system = cubic
Relative energy among the computed polymorphs = 0.433 eV/f.u.

Lattice parameters (Å, degrees): 4.1612 4.1612 4.1612 60.00 60.00 60.00
Last column: nearest neighbours and their distance in Å.
Fractional coordinates of all 4 atoms:
Ag 0.2500 0.2500 0.2500  4 Ni 2.55, 4 Si 2.55
Co 0.7500 0.7500 0.7500  4 Si 2.55, 4 Ni 2.55
Ni 0.5000 0.5000 0.5000  4 Co 2.55, 4 Ag 2.55
Si 0.0000 0.0000 0.0000  4 Co 2.55, 4 Ag 2.55

No. 3
VASP calculation (PBE) on MgFeCoBi after structural relaxation.

Uncorrected energy = -19.58 eV/f.u.
SG = F-43m, No. 216
Calculated density = 9.58 g/cm3
Crystal system = cubic
Relative energy among the computed polymorphs = 0.000 eV/f.u.

Lattice parameters (Å, degrees): 4.4029 4.4029 4.4029 60.00 60.00 60.00
Last column: nearest neighbours and their distance in Å.
Fractional coordinates of all 4 atoms:
Bi 0.0000 0.0000 0.0000  4 Co 2.70, 4 Fe 2.70
Co 0.7500 0.7500 0.7500  4 Mg 2.70, 4 Bi 2.70
Fe 0.2500 0.2500 0.2500  4 Mg 2.70, 4 Bi 2.70
Mg 0.5000 0.5000 0.5000  4 Co 2.70, 4 Fe 2.70

- Which formula does entry 3 have?
  MgFeCoBi